1.
The following is a DFT calculation (PBE) of a relaxed structure of Dy4HoSc5.

Output
crystal system = monoclinic
space-group type = C2/m, No. 12

Unit cell a=7.8047 b=7.8047 c=9.6774 alpha=126.63 beta=126.63 gamma=40.04
Positions (direct):
Dy1 0.2463 0.2463 0.1304
Dy2 0.2524 0.2524 0.6283
Dy3 0.7476 0.7476 0.3717
Dy4 0.7537 0.7537 0.8696
Ho1 0.5000 0.5000 0.5000
Sc1 0.0000 0.0000 0.0000
Sc2 0.0516 0.0516 0.7117
Sc3 0.4466 0.4466 0.0981
Sc4 0.5534 0.5534 0.9019
Sc5 0.9484 0.9484 0.2883

---

2.
The following is a DFT calculation (PBE) of a relaxed structure of Dy4HoSc5.

Output
crystal system = tetragonal
space-group type = I4, No. 79

Unit cell a=7.5272 b=7.5272 c=7.5272 alpha=99.15 beta=99.15 gamma=133.00
Positions (direct):
Dy1 0.0486 0.3433 0.3920
Dy2 0.3433 0.9514 0.2947
Dy3 0.6567 0.0486 0.7053
Dy4 0.9514 0.6567 0.6080
Ho1 0.7749 0.7749 0.0000
Sc1 0.2413 0.2413 0.0000
Sc2 0.2662 0.6386 0.9169
Sc3 0.3493 0.2662 0.6276
Sc4 0.6386 0.7217 0.3724
Sc5 0.7217 0.3493 0.0831

---

Relative energies, kJ/mol of atoms: 1 0.0; 2 5.0.

---

1.
The following is a DFT calculation (PBE) of a relaxed structure of Dy2Ho3Sc.

Output
crystal system = monoclinic
space-group type = C2/c, No. 15

Unit cell a=9.2206 b=9.2206 c=6.0386 alpha=90.07 beta=90.07 gamma=44.45
Positions (direct):
Dy1 0.0393 0.2912 0.4150
Dy2 0.2912 0.0393 0.9150
Dy3 0.7088 0.9607 0.0850
Dy4 0.9607 0.7088 0.5850
Ho1 0.1280 0.8720 0.2500
Ho2 0.2126 0.4599 0.0803
Ho3 0.4599 0.2126 0.5803
Ho4 0.5401 0.7874 0.4197
Ho5 0.7874 0.5401 0.9197
Ho6 0.8720 0.1280 0.7500
Sc1 0.3771 0.6229 0.7500
Sc2 0.6229 0.3771 0.2500

---

2.
The following is a DFT calculation (PBE) of a relaxed structure of Dy2Ho3Sc.

Output
crystal system = monoclinic
space-group type = C2/m, No. 12

Unit cell a=8.8672 b=8.8672 c=13.9137 alpha=116.85 beta=116.85 gamma=22.25
Positions (direct):
Dy1 0.1556 0.1556 0.4697
Dy2 0.3202 0.3202 0.1203
Dy3 0.6798 0.6798 0.8797
Dy4 0.8444 0.8444 0.5303
Ho1 0.0991 0.0991 0.0259
Ho2 0.2413 0.2413 0.2933
Ho3 0.4626 0.4626 0.7826
Ho4 0.5374 0.5374 0.2174
Ho5 0.7587 0.7587 0.7067
Ho6 0.9009 0.9009 0.9741
Sc1 0.0629 0.0629 0.6414
Sc2 0.9371 0.9371 0.3586

---

Relative energies, kJ/mol of atoms: 1 0.0; 2 10.5.

---

1.
The following is a DFT calculation (PBE) of a relaxed structure of Dy6HoSc.

Output
crystal system = tetragonal
space-group type = P4/mmm, No. 123

Unit cell a=4.9656 b=4.9656 c=9.8879 alpha=90.00 beta=90.00 gamma=90.00
Positions (direct):
Dy1 0.0000 0.0000 0.0000
Dy2 0.0000 0.0000 0.5000
Dy3 0.0000 0.5000 0.2455
Dy4 0.0000 0.5000 0.7545
Dy5 0.5000 0.0000 0.2455
Dy6 0.5000 0.0000 0.7545
Ho1 0.5000 0.5000 0.5000
Sc1 0.5000 0.5000 0.0000

---

2.
The following is a DFT calculation (PBE) of a relaxed structure of Dy6HoSc.

Output
crystal system = triclinic
space-group type = P-1, No. 2

Unit cell a=6.4369 b=6.6927 c=6.7856 alpha=118.20 beta=102.45 gamma=91.88
Positions (direct):
Dy1 0.2273 0.4036 0.4679
Dy2 0.2478 0.9410 0.9957
Dy3 0.2620 0.9175 0.5095
Dy4 0.7380 0.0825 0.4905
Dy5 0.7522 0.0590 0.0043
Dy6 0.7727 0.5964 0.5321
Ho1 0.5000 0.5000 0.0000
Sc1 0.0000 0.5000 0.0000

---

Relative energies, kJ/mol of atoms: 1 0.0; 2 17.0.